Entry 1:
! Cs2Hg6PtAu, optimized geometry, DFT PBE; values from VASP
&SYSTEM
  ibrav = 0, nat = 10, ntyp = 4
/
ATOMIC_SPECIES
Cs 132.91 Cs.upf
Hg 200.59 Hg.upf
Pt 195.08 Pt.upf
Au 196.97 Au.upf
ATOMIC_POSITIONS crystal
Cs 0.000 0.000 0.747
Cs 0.000 0.000 0.253
Hg 0.500 0.000 0.000
Hg 0.500 0.000 0.500
Hg 0.000 0.500 0.000
Hg 0.000 0.500 0.500
Hg 0.500 0.500 0.745
Hg 0.500 0.500 0.255
Pt 0.500 0.500 0.500
Au 0.500 0.500 0.000
CELL_PARAMETERS angstrom
-5.428 0.318 0.899
-0.334 -5.501 -0.072
1.789 -0.251 10.896
! Magnetization (μB per formula unit): 0.000
! Raw total energy (eV per cell): -15.3

---

Entry 2:
! Cs6Hg2PtAu, optimized geometry, DFT PBE; values from VASP
&SYSTEM
  ibrav = 0, nat = 10, ntyp = 4
/
ATOMIC_SPECIES
Cs 132.91 Cs.upf
Hg 200.59 Hg.upf
Pt 195.08 Pt.upf
Au 196.97 Au.upf
ATOMIC_POSITIONS crystal
Cs 0.511 0.205 0.314
Cs 0.205 0.971 0.310
Cs 0.972 0.511 0.314
Cs 0.462 0.689 0.812
Cs 0.690 0.035 0.813
Cs 0.035 0.464 0.813
Hg 0.520 0.520 0.441
Hg 0.038 0.038 0.889
Pt 0.360 0.359 0.922
Au 0.870 0.870 0.389
CELL_PARAMETERS angstrom
-8.241 -5.979 0.957
0.539 -8.605 5.523
-4.145 -1.925 6.875
! Magnetization (μB per formula unit): 0.000
! Raw total energy (eV per cell): -16.6

---

Entry 3:
! CsRb2Hg7Au2, optimized geometry, DFT PBE; values from VASP
&SYSTEM
  ibrav = 0, nat = 12, ntyp = 4
/
ATOMIC_SPECIES
Cs 132.91 Cs.upf
Rb 85.47 Rb.upf
Hg 200.59 Hg.upf
Au 196.97 Au.upf
ATOMIC_POSITIONS crystal
Cs 0.000 0.000 0.000
Rb 0.902 0.902 0.363
Rb 0.098 0.098 0.637
Hg 0.500 0.500 0.000
Hg 0.398 0.398 0.403
Hg 0.602 0.602 0.597
Hg 0.072 0.457 0.192
Hg 0.457 0.072 0.192
Hg 0.543 0.928 0.808
Hg 0.928 0.543 0.808
Au 0.413 0.413 0.800
Au 0.587 0.587 0.200
CELL_PARAMETERS angstrom
5.650 -0.051 -0.232
-0.044 5.650 -0.232
1.982 1.980 13.462
! Magnetization (μB per formula unit): 0.000
! Raw total energy (eV per cell): -13.7

---

Entry 4:
! CsRbHgAu, optimized geometry, DFT PBE; values from VASP
&SYSTEM
  ibrav = 0, nat = 4, ntyp = 4
/
ATOMIC_SPECIES
Cs 132.91 Cs.upf
Au 196.97 Au.upf
Hg 200.59 Hg.upf
Rb 85.47 Rb.upf
ATOMIC_POSITIONS crystal
Cs 0.750 0.750 0.750
Au 0.000 0.000 0.000
Hg 0.500 0.500 0.500
Rb 0.250 0.250 0.250
CELL_PARAMETERS angstrom
6.225 0.000 0.000
3.113 5.391 0.000
3.113 1.797 5.083
! Magnetization (μB per formula unit): 0.000
! Energy relative to the lowest polymorph listed for this composition (eV per formula unit): 0.26
! Raw total energy (eV per cell): -6.3

---

Entry 5:
! CsRb4HgAu, optimized geometry, DFT PBE; values from VASP
&SYSTEM
  ibrav = 0, nat = 14, ntyp = 4
/
ATOMIC_SPECIES
Cs 132.91 Cs.upf
Rb 85.47 Rb.upf
Hg 200.59 Hg.upf
Au 196.97 Au.upf
ATOMIC_POSITIONS crystal
Cs 0.039 0.039 0.188
Cs 0.961 0.961 0.812
Rb 0.194 0.194 0.552
Rb 0.806 0.806 0.448
Rb 0.125 0.508 0.165
Rb 0.591 0.591 0.204
Rb 0.492 0.875 0.835
Rb 0.508 0.125 0.165
Rb 0.409 0.409 0.796
Rb 0.875 0.492 0.835
Hg 0.584 0.584 0.566
Hg 0.416 0.416 0.434
Au 0.196 0.196 0.921
Au 0.804 0.804 0.079
CELL_PARAMETERS angstrom
9.592 0.141 -1.089
3.311 9.004 -1.089
1.318 0.934 10.359
! Magnetization (μB per formula unit): 0.000
! Raw total energy (eV per cell): -18.1

---

Entry 6:
! Cs3Rb4Hg3Au2, optimized geometry, DFT PBE; values from VASP
&SYSTEM
  ibrav = 0, nat = 12, ntyp = 4
/
ATOMIC_SPECIES
Cs 132.91 Cs.upf
Rb 85.47 Rb.upf
Hg 200.59 Hg.upf
Au 196.97 Au.upf
ATOMIC_POSITIONS crystal
Cs 0.002 0.000 0.000
Cs 0.096 0.597 0.193
Cs 0.903 0.403 0.807
Rb 0.399 0.897 0.794
Rb 0.230 0.222 0.444
Rb 0.786 0.778 0.556
Rb 0.605 0.103 0.206
Hg 0.504 0.500 0.000
Hg 0.341 0.343 0.685
Hg 0.656 0.657 0.315
Au 0.116 0.113 0.227
Au 0.889 0.887 0.773
CELL_PARAMETERS angstrom
6.739 0.000 0.000
0.000 6.889 0.000
-3.369 -3.445 15.565
! Magnetization (μB per formula unit): 0.000
! Raw total energy (eV per cell): -15.6

---

Entry 7:
! Cs5Rb2HgAu2, optimized geometry, DFT PBE; values from VASP
&SYSTEM
  ibrav = 0, nat = 20, ntyp = 4
/
ATOMIC_SPECIES
Cs 132.91 Cs.upf
Rb 85.47 Rb.upf
Hg 200.59 Hg.upf
Au 196.97 Au.upf
ATOMIC_POSITIONS crystal
Cs 0.500 0.211 0.055
Cs 0.500 0.789 0.945
Cs 0.500 0.055 0.789
Cs 0.500 0.711 0.445
Cs 0.500 0.945 0.211
Cs 0.500 0.289 0.555
Cs 0.500 0.555 0.711
Cs 0.500 0.445 0.289
Cs 0.500 0.500 0.000
Cs 0.500 0.000 0.500
Rb 0.000 0.698 0.198
Rb 0.000 0.302 0.802
Rb 0.000 0.198 0.302
Rb 0.000 0.802 0.698
Hg 0.000 0.000 0.000
Hg 0.000 0.500 0.500
Au 0.000 0.132 0.632
Au 0.000 0.868 0.368
Au 0.000 0.632 0.868
Au 0.000 0.368 0.132
CELL_PARAMETERS angstrom
-4.334 1.387 1.916
-3.342 -15.143 3.402
6.831 1.690 14.232
! Magnetization (μB per formula unit): 0.000
! Raw total energy (eV per cell): -29.6

---

Entry 8:
! CsRbHg2Au2, optimized geometry, DFT PBE; values from VASP
&SYSTEM
  ibrav = 0, nat = 6, ntyp = 4
/
ATOMIC_SPECIES
Cs 132.91 Cs.upf
Rb 85.47 Rb.upf
Hg 200.59 Hg.upf
Au 196.97 Au.upf
ATOMIC_POSITIONS crystal
Cs 0.000 0.000 0.000
Rb 0.000 0.000 0.500
Hg 0.667 0.333 0.262
Hg 0.333 0.667 0.738
Au 0.667 0.333 0.737
Au 0.333 0.667 0.263
CELL_PARAMETERS angstrom
5.042 0.000 0.000
-2.521 4.366 0.000
0.000 0.000 9.762
! Magnetization (μB per formula unit): 0.000
! Raw total energy (eV per cell): -10.7

---

Entry 9:
! Cs2Rb4Hg2Au, optimized geometry, DFT PBE; values from VASP
&SYSTEM
  ibrav = 0, nat = 9, ntyp = 4
/
ATOMIC_SPECIES
Cs 132.91 Cs.upf
Rb 85.47 Rb.upf
Hg 200.59 Hg.upf
Au 196.97 Au.upf
ATOMIC_POSITIONS crystal
Cs 0.913 0.552 0.274
Cs 0.087 0.448 0.726
Rb 0.468 0.830 0.104
Rb 0.747 0.853 0.641
Rb 0.532 0.170 0.896
Rb 0.253 0.147 0.359
Hg 0.208 0.345 0.077
Hg 0.792 0.655 0.923
Au 0.000 0.000 0.000
CELL_PARAMETERS angstrom
-4.709 -3.082 -2.658
7.282 -0.090 -5.555
4.130 -6.613 7.694
! Magnetization (μB per formula unit): 0.000
! Raw total energy (eV per cell): -10.9

---

Entry 10:
! CsRbHgAu, optimized geometry, DFT PBE; values from VASP
&SYSTEM
  ibrav = 0, nat = 4, ntyp = 4
/
ATOMIC_SPECIES
Cs 132.91 Cs.upf
Rb 85.47 Rb.upf
Hg 200.59 Hg.upf
Au 196.97 Au.upf
ATOMIC_POSITIONS crystal
Cs 0.856 0.500 0.712
Rb 0.139 0.000 0.277
Hg 0.563 0.500 0.126
Au 0.442 0.000 0.884
CELL_PARAMETERS angstrom
5.260 0.000 0.000
0.000 5.030 0.000
-2.630 0.000 6.648
! Magnetization (μB per formula unit): 0.000
! Energy relative to the lowest polymorph listed for this composition (eV per formula unit): 0.00
! Raw total energy (eV per cell): -6.6

---

Entry 11:
! Cs3RbHgAu, optimized geometry, DFT PBE; values from VASP
&SYSTEM
  ibrav = 0, nat = 12, ntyp = 4
/
ATOMIC_SPECIES
Cs 132.91 Cs.upf
Rb 85.47 Rb.upf
Hg 200.59 Hg.upf
Au 196.97 Au.upf
ATOMIC_POSITIONS crystal
Cs 0.185 0.185 0.572
Cs 0.109 0.641 0.947
Cs 0.641 0.109 0.947
Cs 0.359 0.891 0.053
Cs 0.891 0.359 0.053
Cs 0.815 0.815 0.428
Rb 0.287 0.713 0.500
Rb 0.713 0.287 0.500
Hg 0.682 0.682 0.737
Hg 0.318 0.318 0.263
Au 0.000 0.000 0.766
Au 0.000 0.000 0.234
CELL_PARAMETERS angstrom
-8.337 -5.851 -1.079
-2.101 -5.584 -8.326
5.162 -5.236 4.249
! Magnetization (μB per formula unit): 0.000
! Raw total energy (eV per cell): -16.4

---

Entry 12:
! Cs2Rb7HgAu2, optimized geometry, DFT PBE; values from VASP
&SYSTEM
  ibrav = 0, nat = 12, ntyp = 4
/
ATOMIC_SPECIES
Cs 132.91 Cs.upf
Rb 85.47 Rb.upf
Hg 200.59 Hg.upf
Au 196.97 Au.upf
ATOMIC_POSITIONS crystal
Cs 0.700 0.700 0.901
Cs 0.300 0.300 0.099
Rb 0.206 0.884 0.347
Rb 0.563 0.206 0.347
Rb 0.884 0.563 0.347
Rb 0.437 0.116 0.653
Rb 0.794 0.437 0.653
Rb 0.000 0.000 0.000
Rb 0.116 0.794 0.653
Hg 0.500 0.500 0.500
Au 0.930 0.930 0.209
Au 0.070 0.070 0.791
CELL_PARAMETERS angstrom
8.162 0.000 0.000
4.081 7.069 0.000
4.081 2.356 15.977
! Magnetization (μB per formula unit): 0.000
! Raw total energy (eV per cell): -15.8

---

no.,DFT formation energy (eV/atom)
1,-0.25
2,-0.16
3,-0.19
4,-0.22
5,-0.11
6,-0.14
7,-0.17
8,-0.29
9,-0.16
10,-0.29
11,-0.18
12,-0.04